First-principles (PBE) data for a relaxed Er2SbO3 crystal, as listed in the Alexandria database.

* formation energy from raw total energies: -2.767 eV per atom
* SG: No. 12
* density of states at the Fermi level: 0.3366 states/eV per atom
* magnetic moment: 0.0 μB per formula unit
* E_tot: -44.72 eV per formula unit
* calculated density: 8.08 g cm⁻³

abc: 6.5843 6.5843 9.9588
angles: 115.15 115.15 32.37
Element x y z (fractional)
1 Er 0.0274 0.0274 0.2600
2 Er 0.3399 0.3399 0.9421
3 Er 0.6601 0.6601 0.0579
4 Er 0.9726 0.9726 0.7400
5 Sb 0.3626 0.3626 0.4187
6 Sb 0.6374 0.6374 0.5813
7 O 0.1546 0.1546 0.9188
8 O 0.2014 0.2014 0.2316
9 O 0.4791 0.4791 0.8546
10 O 0.5209 0.5209 0.1454
11 O 0.7986 0.7986 0.7684
12 O 0.8454 0.8454 0.0812